First-principles (PBE-GGA) data for an optimized crystal structure of RbAg4Pb3Cl12, as listed in Alexandria via LeMat-Bulk.

Results
Space group = R32
Electronic total energy = -3.156 eV per atom
Formation energy without anion corrections = -0.8728 eV per atom
Size of the total moment = 0.00 μB per formula unit

POSCAR file:
```
RbAg4Pb3Cl12
1.0
9.417 -0.272 -0.378
-2.533 9.074 -0.378
-2.533 -3.239 8.485
Pb Cl Ag Rb
3 12 4 1
Direct
0.438 0.000 0.562 Pb
0.000 0.562 0.438 Pb
0.562 0.438 0.000 Pb
0.011 0.649 0.760 Cl
0.240 0.351 0.989 Cl
0.760 0.011 0.649 Cl
0.989 0.240 0.351 Cl
0.649 0.760 0.011 Cl
0.338 0.662 0.500 Cl
0.500 0.338 0.662 Cl
0.093 0.907 0.500 Cl
0.500 0.093 0.907 Cl
0.907 0.500 0.093 Cl
0.351 0.989 0.240 Cl
0.662 0.500 0.338 Cl
0.922 0.078 0.500 Ag
0.078 0.500 0.922 Ag
0.500 0.922 0.078 Ag
0.500 0.500 0.500 Ag
0.000 0.000 0.000 Rb
```